Material: CeFeAs2
Method: DFT, PBE-GGA
State: relaxed

symmetry: No. 166
formation energy: 0.00 eV per atom
energy: -5.9272 eV/atom
V: 30.969 Å³/atom
crystal system: trigonal

POSCAR file:
```
CeFeAs2
1.0
-3.018 -0.055 3.186
-1.650 -3.820 1.394
3.829 -1.758 6.620
Fe As Ce
1 2 1
Cartesian
0.000 0.000 0.000
-2.997 -4.019 6.160
2.159 -1.613 5.040
-0.419 -2.816 5.600
```

***

Material: BeReO2
Method: DFT, PBE-GGA
State: relaxed

symmetry: No. 166
energy: -7.3443 eV/atom
V: 9.865 Å³/atom
formation energy from raw total energies: -3.3 eV per formula unit
crystal system: trigonal

POSCAR file:
```
BeReO2
1.0
5.245 1.245 3.064
6.083 1.119 0.440
4.960 3.439 1.418
Be Re O
1 1 2
Cartesian
0.000 0.000 0.000
8.144 2.902 2.461
1.418 0.505 0.429
14.870 5.298 4.493
```

***

Material: Hf2ZrMn
Method: DFT, PBE-GGA
State: relaxed

symmetry: No. 63
formation energy: -0.06 eV per atom
energy: -9.4632 eV/atom
V: 19.683 Å³/atom
excess energy over the best structure of this formula in the dataset: 0 meV per atom
crystal system: orthorhombic

POSCAR file:
```
Hf2ZrMn
1.0
3.308 0.000 0.000
-1.654 5.498 0.000
0.000 0.000 8.657
Mn Hf Zr
2 4 2
Cartesian
1.657 2.779 6.493
-0.003 2.719 2.164
1.652 1.540 3.809
0.002 3.958 4.848
0.002 3.958 8.137
1.652 1.540 0.520
1.654 4.800 2.164
0.000 0.698 6.493
```

***

Material: Ga5Ge3Pb12
Method: DFT, PBE-GGA
State: relaxed

symmetry: No. 230
formation energy: 0.27 eV per atom
energy: -3.4060 eV/atom
V: 31.759 Å³/atom
crystal system: cubic

POSCAR file:
```
Ga5Ge3Pb12
1.0
-0.506 7.756 12.699
-2.954 -14.320 2.810
13.575 1.182 -6.000
Ge Ga Pb
12 20 48
Cartesian
5.520 -5.974 8.232
7.533 -10.674 -0.454
-0.961 -3.805 12.469
1.358 -5.746 5.018
9.905 -5.976 -0.319
2.582 5.292 9.963
4.595 0.592 1.276
11.076 -1.576 -2.960
8.757 0.364 4.490
4.036 1.711 6.389
0.210 0.595 9.828
6.079 -7.092 3.119
9.346 -4.858 4.794
6.535 4.469 3.349
0.000 0.000 0.000
-1.730 -3.282 7.754
7.892 -1.277 8.367
6.787 0.591 -3.000
-1.477 -7.160 1.405
-1.015 -10.443 4.883
2.223 -4.105 1.141
0.769 -0.524 4.714
5.310 -6.569 -1.595
-0.253 3.878 6.349
2.812 -9.327 1.444
7.303 3.946 8.064
9.622 2.005 0.613
7.250 -2.692 0.478
2.865 -2.689 9.030
0.493 -7.387 8.895
11.129 5.062 4.625
5.057 -2.691 4.754
10.200 -2.223 4.179
7.147 2.634 5.553
-2.378 -6.825 12.795
2.964 -7.318 7.504
4.755 3.408 9.188
-0.300 -4.636 2.325
4.658 -3.997 10.797
-1.263 -6.097 7.078
2.553 -1.389 0.392
0.604 -6.117 11.429
10.070 -9.276 0.241
0.160 -0.648 12.534
6.086 -0.450 6.342
7.861 6.718 7.841
7.495 -9.686 2.748
-0.957 -12.179 2.640
-0.722 -7.709 4.185
2.619 4.305 6.760
7.151 1.937 2.005
9.942 -2.627 -0.414
12.493 1.444 -3.287
0.045 3.895 9.267
2.968 -8.015 3.955
10.837 2.328 5.323
5.360 -8.789 0.320
0.774 1.201 6.967
6.845 -1.281 2.906
0.173 -2.755 9.923
4.079 2.895 3.656
3.359 0.094 8.798
11.072 6.798 6.868
9.340 -6.583 2.542
10.415 -0.745 7.183
3.467 -0.399 3.848
9.511 0.735 -1.921
9.955 -4.733 -3.026
11.377 0.715 2.431
2.254 -12.099 1.667
3.269 -4.100 6.603
8.013 -7.675 -1.871
6.035 -8.276 5.852
4.029 -4.932 3.166
5.457 -1.385 -1.289
7.562 -3.993 9.116
6.756 -5.476 0.711
6.648 -4.982 5.660
2.102 2.293 11.379
-0.085 -3.158 5.330
```

***

Material: NbAuI2N
Method: DFT, PBE-GGA
State: relaxed

symmetry: No. 123
energy: -4.6580 eV/atom
V: 25.603 Å³/atom
excess energy over the best structure of this formula in the dataset: 0 meV per atom
formation energy from raw total energies: 1.5 eV per formula unit
crystal system: tetragonal

POSCAR file:
```
NbAuI2N
1.0
5.720 0.000 0.000
0.000 5.720 0.000
0.000 0.000 3.913
I Nb N Au
2 1 1 1
Cartesian
2.860 0.000 0.000
0.000 2.860 0.000
0.000 0.000 0.000
0.000 0.000 1.957
2.860 2.860 1.957
```

***

Material: LiAgPt2
Method: DFT, PBE-GGA
State: relaxed

symmetry: No. 35
formation energy: -0.16 eV per atom
energy: -4.3680 eV/atom
V: 15.631 Å³/atom
excess energy over the best structure of this formula in the dataset: 190 meV per atom
crystal system: orthorhombic

POSCAR file:
```
LiAgPt2
1.0
2.742 0.009 0.000
-1.311 2.408 0.000
0.000 0.000 9.453
Pt Ag Li
2 1 1
Cartesian
0.000 0.000 9.279
0.715 1.209 2.349
0.000 0.000 4.829
0.715 1.209 7.176
```